# 1
A PBEsol-optimized structure of Zr2Al2In, computed with meta-GGA SCAN.

Unit cell a=6.989 b=6.989 c=3.980 alpha=90.00 beta=90.00 gamma=90.00
Space group P4/mbm (No. 127)
Inequivalent atoms, fractional coordinates:
Zr1 0.174 0.326 0.000 x4
Al1 0.125 0.625 0.500 x4
In1 0.000 0.000 0.500 x2

Properties
- VASP energy (eV/f.u.) = -112.53


# 2
A PBEsol-optimized structure of Zr2AlIn, computed with meta-GGA SCAN.

Unit cell a=6.117 b=8.557 c=3.059 alpha=90.00 beta=90.00 gamma=90.00
Space group Cmmm (No. 65)
Inequivalent atoms, fractional coordinates:
Zr1 0.250 0.250 0.000 x4
Al1 0.000 0.000 0.500 x2
In1 0.000 0.500 0.500 x2

Properties
- VASP energy (eV/f.u.) = -104.37


# 3
A PBEsol-optimized structure of ZrAlIn2, computed with meta-GGA SCAN.

Unit cell a=3.2215 b=3.2215 c=28.9073 alpha=90.00 beta=90.00 gamma=120.00
Space group R3m (No. 160, hexagonal axes)
Inequivalent atoms, fractional coordinates:
Zr1 0.0000 0.0000 0.0000 x3
Al1 0.0000 0.0000 0.7448 x3
In1 0.0000 0.0000 0.2477 x3
In2 0.0000 0.0000 0.4929 x3

Properties
- VASP energy (eV/f.u.) = -105.59


Number 1: density of states at the Fermi level 3.883 states/eV/cell, formation enthalpy at 0 K -2.24 eV per formula unit. Number 2: density of states at the Fermi level 4.977 states/eV/cell, formation enthalpy at 0 K -1.83 eV per formula unit. Number 3: density of states at the Fermi level 6.584 states/eV/cell, formation enthalpy at 0 K -0.37 eV per formula unit.